Entry 1:
# PBE Tm2ScHgC, optimized geometry
data_Tm2ScHgC
_space_group_name_H-M_alt 'P 4/m m m'
_space_group_IT_number 123
_space_group_name_Hall '-P 4 2'
_cell_length_a 4.880
_cell_length_b 4.880
_cell_length_c 4.438
_cell_angle_alpha 90.00
_cell_angle_beta 90.00
_cell_angle_gamma 90.00
loop_
_atom_site_label
_atom_site_type_symbol
_atom_site_fract_x
_atom_site_fract_y
_atom_site_fract_z
Tm1 Tm 0.000 0.500 0.000
Sc1 Sc 0.000 0.000 0.500
Hg1 Hg 0.500 0.500 0.500
C1 C 0.000 0.000 0.000
# DOS(E_F) (states/eV per cell): 4.03
# Volume (A^3/atom): 21.14
# Energy of formation (eV/atom): -0.4819
# Electronic total energy (eV per cell): -27.2
# Magnetic moment (μB per cell): 0.00

---

Entry 2:
# PBE YScHg2C, optimized geometry
data_YScHg2C
_space_group_name_H-M_alt 'P 4/m m m'
_space_group_IT_number 123
_space_group_name_Hall '-P 4 2'
_cell_length_a 5.198
_cell_length_b 5.198
_cell_length_c 5.848
_cell_angle_alpha 90.00
_cell_angle_beta 90.00
_cell_angle_gamma 90.00
loop_
_atom_site_label
_atom_site_type_symbol
_atom_site_fract_x
_atom_site_fract_y
_atom_site_fract_z
Y1 Y 0.000 0.000 0.000
Sc1 Sc 0.000 0.000 0.500
Hg1 Hg 0.000 0.500 0.500
C1 C 0.500 0.500 0.000
# DOS(E_F) (states/eV per cell): 6.24
# Volume (A^3/atom): 31.60
# Energy of formation (eV/atom): 1.8259
# Electronic total energy (eV per cell): -13.5
# Magnetic moment (μB per cell): 0.00

---

Entry 3:
# PBE Zr2ScHgC, optimized geometry
data_Zr2ScHgC
_space_group_name_H-M_alt 'P 4/m m m'
_space_group_IT_number 123
_space_group_name_Hall '-P 4 2'
_cell_length_a 4.573
_cell_length_b 4.573
_cell_length_c 4.515
_cell_angle_alpha 90.00
_cell_angle_beta 90.00
_cell_angle_gamma 90.00
loop_
_atom_site_label
_atom_site_type_symbol
_atom_site_fract_x
_atom_site_fract_y
_atom_site_fract_z
Zr1 Zr 0.000 0.500 0.000
Sc1 Sc 0.000 0.000 0.500
Hg1 Hg 0.500 0.500 0.500
C1 C 0.000 0.000 0.000
# DOS(E_F) (states/eV per cell): 2.11
# Volume (A^3/atom): 18.88
# Energy of formation (eV/atom): -0.5133
# Electronic total energy (eV per cell): -35.5
# Magnetic moment (μB per cell): 0.00

---

Entry 4:
# PBE ZrScHgC, optimized geometry
data_ZrScHgC
_space_group_name_H-M_alt 'R 3 m'
_space_group_IT_number 160
_space_group_name_Hall 'R 3 -2"'
_cell_length_a 3.3527
_cell_length_b 3.3527
_cell_length_c 22.5627
_cell_angle_alpha 90.00
_cell_angle_beta 90.00
_cell_angle_gamma 120.00
loop_
_atom_site_label
_atom_site_type_symbol
_atom_site_fract_x
_atom_site_fract_y
_atom_site_fract_z
Zr1 Zr 0.0000 0.0000 0.0000
Sc1 Sc 0.0000 0.0000 0.7767
Hg1 Hg 0.0000 0.0000 0.5559
C1 C 0.0000 0.0000 0.3871
# DOS(E_F) (states/eV per cell): 8.97
# Volume (A^3/atom): 18.31
# Energy of formation (eV/atom): -0.5296
# Electronic total energy (eV per cell): -79.6
# Magnetic moment (μB per cell): 0.00

---

Entry 5:
# PBE Hg3CSe, optimized geometry
data_Hg3CSe
_space_group_name_H-M_alt 'P m -3 m'
_space_group_IT_number 221
_space_group_name_Hall '-P 4 2 3'
_cell_length_a 5.590
_cell_length_b 5.590
_cell_length_c 5.590
_cell_angle_alpha 90.00
_cell_angle_beta 90.00
_cell_angle_gamma 90.00
loop_
_atom_site_label
_atom_site_type_symbol
_atom_site_fract_x
_atom_site_fract_y
_atom_site_fract_z
Hg1 Hg 0.000 0.000 0.500
C1 C 0.500 0.500 0.500
Se1 Se 0.000 0.000 0.000
# Energy relative to the lowest polymorph listed for this composition (meV per atom): 648
# Formation energy (no corrections) (eV/atom): 1.5230
# DOS(E_F) (states/eV per cell): 2.67
# Volume (A^3/atom): 34.93
# Electronic total energy (eV per cell): -6.0
# Magnetic moment (μB per cell): 2.58

---

Entry 6:
# PBE HgCSe2, optimized geometry
data_HgCSe2
_space_group_name_H-M_alt 'R -3 m'
_space_group_IT_number 166
_space_group_name_Hall '-R 3 2"'
_cell_length_a 3.1389
_cell_length_b 3.1389
_cell_length_c 28.9274
_cell_angle_alpha 90.00
_cell_angle_beta 90.00
_cell_angle_gamma 120.00
loop_
_atom_site_label
_atom_site_type_symbol
_atom_site_fract_x
_atom_site_fract_y
_atom_site_fract_z
Hg1 Hg 0.0000 0.0000 0.0000
C1 C 0.0000 0.0000 0.5000
Se1 Se 0.0000 0.0000 0.1193
# Energy relative to the lowest polymorph listed for this composition (meV per atom): 533
# Formation energy (no corrections) (eV/atom): 1.0634
# DOS(E_F) (states/eV per cell): 5.17
# Volume (A^3/atom): 20.57
# Electronic total energy (eV per cell): -36.7
# Magnetic moment (μB per cell): 0.00